[1]
## Ge2SO (PBE)

Data for an optimized crystal structure of Ge2SO.

Total DFT energy (no corrections) in eV per atom: -4.87
Polymorph energy (0 for the lowest one) in meV per atom: 109
DOS(E_F) in states/eV per atom: 0.26
Formation energy without anion corrections in eV per formula unit: -1.172

Unit cell a=4.9990 b=4.9990 c=12.7951 alpha=90.00 beta=90.00 gamma=90.00
With the nearest neighbours (Å) after each atom.
Element x y z (fractional)
Ge 0.1674 0.2500 0.1250  2 O 2.20
Ge 0.2500 0.6674 0.3750  2 O 2.20
Ge 0.2500 0.8326 0.8750  2 O 2.20
Ge 0.3326 0.2500 0.6250  2 O 2.20
Ge 0.6674 0.7500 0.6250  2 O 2.20
Ge 0.7500 0.1674 0.8750  2 O 2.20
Ge 0.7500 0.3326 0.3750  2 O 2.20
Ge 0.8326 0.7500 0.1250  2 O 2.20
S 0.0000 0.0000 0.5000  4 Ge 2.62
S 0.0000 0.5000 0.7500  4 Ge 2.62
S 0.5000 0.0000 0.2500  4 Ge 2.62
S 0.5000 0.5000 0.0000  4 Ge 2.62
O 0.0000 0.0000 0.0000  4 Ge 2.20
O 0.0000 0.5000 0.2500  4 Ge 2.20
O 0.5000 0.0000 0.7500  4 Ge 2.20
O 0.5000 0.5000 0.5000  4 Ge 2.20



[2]
## ThTl3Bi2Te6 (PBE)

Data for an optimized crystal structure of ThTl3Bi2Te6.

Total DFT energy (no corrections) in eV per atom: -3.91
DOS(E_F) in states/eV per atom: 0.44
Formation energy without anion corrections in eV per formula unit: -5.788

Unit cell a=7.8981 b=7.8981 c=8.6428 alpha=98.83 beta=98.83 gamma=120.25
With the nearest neighbours (Å) after each atom.
Element x y z (fractional)
Th 0.0000 0.0000 0.0000  6 Te 3.16-3.17
Tl 0.1621 0.8379 0.5000  6 Te 3.47-3.55
Tl 0.5000 0.5000 0.5000  6 Te 3.48-3.53
Tl 0.8379 0.1621 0.5000  6 Te 3.47-3.55
Bi 0.3311 0.6689 0.0000  6 Te 3.18-3.21
Bi 0.6689 0.3311 0.0000  6 Te 3.18-3.21
Te 0.0731 0.4027 0.2211  1 Th 3.17, 2 Bi 3.18-3.21, 2 Tl 3.48
Te 0.2591 0.2591 0.7834  1 Th 3.16, 2 Bi 3.20, 3 Tl 3.47-3.53
Te 0.4027 0.0731 0.2211  1 Th 3.17, 2 Bi 3.18-3.21, 2 Tl 3.48
Te 0.5973 0.9269 0.7789  1 Th 3.17, 2 Bi 3.18-3.21, 2 Tl 3.48
Te 0.7409 0.7409 0.2166  1 Th 3.16, 2 Bi 3.20, 3 Tl 3.47-3.53
Te 0.9269 0.5973 0.7789  1 Th 3.17, 2 Bi 3.18-3.21, 2 Tl 3.48



[3]
## Tm2Pd3Au6 (PBE)

Data for an optimized crystal structure of Tm2Pd3Au6.

ΔH_f (0 K) in eV per atom: -0.437
Total DFT energy (no corrections) in eV per atom: -4.45
DOS(E_F) in states/eV per atom: 0.39

Unit cell a=14.6107 b=14.6107 c=14.6107 alpha=164.55 beta=164.55 gamma=21.92
With the nearest neighbours (Å) after each atom.
Element x y z (fractional)
Tm 0.1654 0.1654 0.0000  4 Pd 2.89, 1 Au 2.98
Tm 0.8346 0.8346 0.0000  4 Pd 2.89, 1 Au 2.98
Pd 0.3625 0.3625 0.0000  5 Au 2.68-2.79, 4 Tm 2.89
Pd 0.5000 0.5000 0.0000  8 Au 2.78
Pd 0.6375 0.6375 0.0000  5 Au 2.68-2.79, 4 Tm 2.89
Au 0.0684 0.5684 0.5000  4 Pd 2.78-2.79, 4 Au 2.78
Au 0.2692 0.2692 0.0000  1 Pd 2.68, 1 Tm 2.98, 4 Au 2.99
Au 0.4316 0.9316 0.5000  4 Pd 2.78-2.79, 4 Au 2.78
Au 0.5684 0.0684 0.5000  4 Pd 2.78-2.79, 4 Au 2.78
Au 0.7308 0.7308 0.0000  1 Pd 2.68, 1 Tm 2.98, 4 Au 2.99
Au 0.9316 0.4316 0.5000  4 Pd 2.78-2.79, 4 Au 2.78



Question: Among the records above, which one has the highest DOS(E_F)?
Answer: ThTl3Bi2Te6